Entry 1:
{
  "formula": "LaNb2ClO6",
  "functional": "PBE",
  "state": "relaxed",
  "e_tot_ev_per_atom": -8.39,
  "space_group": "Pnma",
  "lattice": [[9.8048, 0.0000, 0.0000], [0.0000, 7.3409, 0.0000], [0.0000, 0.0000, 8.3497]],
  "species": ["La", "La", "La", "La", "Nb", "Nb", "Nb", "Nb", "Nb", "Nb", "Nb", "Nb", "Cl", "Cl", "Cl", "Cl", "O", "O", "O", "O", "O", "O", "O", "O", "O", "O", "O", "O", "O", "O", "O", "O", "O", "O", "O", "O", "O", "O", "O", "O"],
  "frac_coords": [[0.1774, 0.2500, 0.1882], [0.3226, 0.7500, 0.6882], [0.6774, 0.2500, 0.3118], [0.8226, 0.7500, 0.8118], [0.0000, 0.0000, 0.5000], [0.0000, 0.5000, 0.5000], [0.2342, 0.7500, 0.2294], [0.2658, 0.2500, 0.7294], [0.5000, 0.0000, 0.0000], [0.5000, 0.5000, 0.0000], [0.7342, 0.7500, 0.2706], [0.7658, 0.2500, 0.7706], [0.1055, 0.7500, 0.9270], [0.3945, 0.2500, 0.4270], [0.6055, 0.7500, 0.5730], [0.8945, 0.2500, 0.0730], [0.0025, 0.7500, 0.5823], [0.1005, 0.5564, 0.2965], [0.1005, 0.9436, 0.2965], [0.1687, 0.2500, 0.9129], [0.1772, 0.0440, 0.6121], [0.1772, 0.4560, 0.6121], [0.3228, 0.5440, 0.1121], [0.3228, 0.9560, 0.1121], [0.3313, 0.7500, 0.4129], [0.3995, 0.0564, 0.7965], [0.3995, 0.4436, 0.7965], [0.4975, 0.2500, 0.0823], [0.5025, 0.7500, 0.9177], [0.6005, 0.5564, 0.2035], [0.6005, 0.9436, 0.2035], [0.6687, 0.2500, 0.5871], [0.6772, 0.0440, 0.8879], [0.6772, 0.4560, 0.8879], [0.8228, 0.5440, 0.3879], [0.8228, 0.9560, 0.3879], [0.8313, 0.7500, 0.0871], [0.8995, 0.0564, 0.7035], [0.8995, 0.4436, 0.7035], [0.9975, 0.2500, 0.4177]]
}

***

Entry 2:
{
  "formula": "Rb2LaNb2ClO7",
  "functional": "PBE",
  "state": "relaxed",
  "e_tot_ev_per_atom": -7.50,
  "space_group": "P4/mmm",
  "lattice": [[3.8956, 0.0000, 0.0000], [0.0000, 3.8956, 0.0000], [0.0000, 0.0000, 14.8699]],
  "species": ["Rb", "Rb", "La", "Nb", "Nb", "Cl", "O", "O", "O", "O", "O", "O", "O"],
  "frac_coords": [[0.0000, 0.0000, 0.1332], [0.0000, 0.0000, 0.8668], [0.0000, 0.0000, 0.5000], [0.5000, 0.5000, 0.3449], [0.5000, 0.5000, 0.6551], [0.5000, 0.5000, 0.0000], [0.0000, 0.5000, 0.3747], [0.0000, 0.5000, 0.6253], [0.5000, 0.0000, 0.3747], [0.5000, 0.0000, 0.6253], [0.5000, 0.5000, 0.2238], [0.5000, 0.5000, 0.5000], [0.5000, 0.5000, 0.7762]]
}

***

Entry 3:
{
  "formula": "LaNdCl6",
  "functional": "PBE",
  "state": "relaxed",
  "e_above_lowest_polymorph_mev_per_atom": 18,
  "e_tot_ev_per_atom": -4.93,
  "space_group": "Amm2",
  "lattice": [[8.7251, 0.0000, 0.0000], [0.0000, 2.0320, 6.2094], [0.0000, -2.0320, 6.2094]],
  "species": ["La", "Nd", "Cl", "Cl", "Cl", "Cl", "Cl", "Cl"],
  "frac_coords": [[0.0000, 0.0000, 0.0000], [0.5000, 0.5155, 0.5155], [0.0000, 0.3452, 0.3452], [0.1867, 0.6066, 0.6066], [0.3179, 0.9090, 0.9090], [0.5000, 0.1667, 0.1667], [0.6821, 0.9090, 0.9090], [0.8133, 0.6066, 0.6066]]
}